Here is ReRuBr2 after structural relaxation from Alexandria. Energies are from PBE-GGA.

## Properties
energy above the most stable polymorph in this dataset: 1205 meV per atom
uncorrected energy: -4.793 eV per atom
raw formation energy: 1.475 eV per atom

Structure (extended XYZ):
```
8
Lattice="5.761 0.000 0.000 0.000 5.761 0.000 2.880 2.880 5.354" Properties=species:S:1:pos:R:3 pbc="T T T"
Ru 2.880 5.761 2.677
Re 5.761 2.880 2.677
Ru 2.880 2.880 0.000
Br 4.321 4.308 4.015
Br 7.201 7.214 4.015
Br 4.334 1.440 1.338
Br 1.427 4.321 1.338
Re 0.000 0.000 0.000
```



Here is Al2ZnIn after structural relaxation from Alexandria. Energies are from PBE-GGA.

## Properties
uncorrected energy: -2.692 eV per atom

Structure (extended XYZ):
```
4
Lattice="-1.576 -2.538 -0.486 1.752 0.231 2.457 -7.619 3.758 5.077" Properties=species:S:1:pos:R:3 pbc="T T T"
In -1.817 -0.214 2.255
Zn -5.626 1.665 4.794
Al -3.995 1.970 2.662
Al -7.434 3.667 4.954
```



Here is SrTh2Sn9 after structural relaxation from Alexandria. Energies are from PBE-GGA.

## Properties
uncorrected energy: -4.808 eV per atom

Structure (extended XYZ):
```
12
Lattice="-1.113 -3.463 3.102 -0.977 -2.944 -3.637 13.707 -4.465 -0.069" Properties=species:S:1:pos:R:3 pbc="T T T"
Sn 10.874 -5.174 -1.876
Sn 1.788 -2.495 1.539
Sn 3.545 -4.698 -0.291
Sn 8.072 -6.173 -0.314
Sn 6.365 -3.705 -1.853
Sn -1.045 -3.203 -0.268
Sn 6.297 -3.964 1.516
Th 9.058 -2.951 -0.046
Sr 0.000 0.000 0.000
Th 4.649 -1.514 -0.023
Sn 1.856 -2.236 -1.830
Sn 10.807 -5.433 1.494
```



Here is BaPbN2F after structural relaxation from Alexandria. Energies are from PBE-GGA.

## Properties
energy above the most stable polymorph in this dataset: 0 meV per atom
uncorrected energy: -5.145 eV per atom
raw formation energy: -0.314 eV per atom

Structure (extended XYZ):
```
5
Lattice="-0.755 -3.905 1.872 3.379 0.657 2.733 -2.926 2.063 3.122" Properties=species:S:1:pos:R:3 pbc="T T T"
N -0.378 -1.952 0.936
N 1.690 0.328 1.367
F -1.463 1.031 1.561
Pb 0.000 0.000 0.000
Ba -0.151 -0.593 3.863
```



Here is TaAsCl2 after structural relaxation from Alexandria. Energies are from PBE-GGA.

## Properties
energy above the most stable polymorph in this dataset: 0 meV per atom
uncorrected energy: -5.684 eV per atom
raw formation energy: -0.635 eV per atom

Structure (extended XYZ):
```
4
Lattice="6.901 0.010 0.075 6.235 2.957 0.075 3.290 0.743 5.925" Properties=species:S:1:pos:R:3 pbc="T T T"
As 3.248 0.734 2.225
Cl 13.385 3.023 4.067
Ta 7.747 1.750 2.297
Cl 13.394 3.025 0.673
```



Here is DyMgInBi after structural relaxation from Alexandria. Energies are from PBE-GGA.

## Properties
uncorrected energy: -3.448 eV per atom

Structure (extended XYZ):
```
4
Lattice="5.347 0.000 0.000 2.673 4.630 0.000 2.673 1.543 4.365" Properties=species:S:1:pos:R:3 pbc="T T T"
Dy 5.347 3.087 2.183
Mg 0.000 0.000 0.000
Bi 2.673 1.543 1.091
In 8.020 4.630 3.274
```



Here is NaTlCdHg2 after structural relaxation from Alexandria. Energies are from PBE-GGA.

## Properties
uncorrected energy: -1.106 eV per atom

Structure (extended XYZ):
```
5
Lattice="5.152 0.000 0.000 -2.576 4.461 0.000 0.000 0.000 6.264" Properties=species:S:1:pos:R:3 pbc="T T T"
Cd 0.000 2.974 4.195
Tl 0.000 0.000 6.147
Na 2.576 1.487 2.147
Hg 2.576 1.487 5.131
Hg 0.000 2.974 1.174
```



Here is CoHgGe2C after structural relaxation from Alexandria. Energies are from PBE-GGA.

## Properties
uncorrected energy: -3.160 eV per atom

Structure (extended XYZ):
```
5
Lattice="-3.438 -2.679 -3.238 2.941 -0.978 -2.314 0.784 -4.519 2.906" Properties=species:S:1:pos:R:3 pbc="T T T"
Ge 0.392 -2.260 1.453
C 1.470 -0.489 -1.157
Hg 0.000 0.000 0.000
Ge -1.719 -1.339 -1.619
Co 0.143 -4.088 -1.323
```



Here is ZrCo2RhC after structural relaxation from Alexandria. Energies are from PBE-GGA.

## Properties
uncorrected energy: -8.067 eV per atom

Structure (extended XYZ):
```
5
Lattice="-1.805 -3.317 -0.810 2.887 -0.993 -2.365 1.967 -1.846 3.176" Properties=species:S:1:pos:R:3 pbc="T T T"
Zr 1.525 -3.078 0.000
Co -0.902 -1.659 -0.405
Rh 0.983 -0.923 1.588
C 0.000 0.000 0.000
Co 1.444 -0.497 -1.183
```



Here is K4Pd after structural relaxation from Alexandria. Energies are from PBE-GGA.

## Properties
energy above the most stable polymorph in this dataset: 15 meV per atom
uncorrected energy: -1.848 eV per atom

Structure (extended XYZ):
```
5
Lattice="6.471 0.000 0.000 0.000 6.471 0.000 0.000 0.000 6.471" Properties=species:S:1:pos:R:3 pbc="T T T"
Pd 3.235 3.235 3.235
K 0.000 3.235 3.235
K 3.235 0.000 3.235
K 3.235 3.235 0.000
K 0.000 0.000 0.000
```



Here is Tl2HgSb after structural relaxation from Alexandria. Energies are from PBE-GGA.

## Properties
energy above the most stable polymorph in this dataset: 63 meV per atom
uncorrected energy: -2.236 eV per atom
raw formation energy: 0.053 eV per atom

Structure (extended XYZ):
```
4
Lattice="4.695 0.000 0.000 0.000 4.765 0.000 0.000 0.000 5.192" Properties=species:S:1:pos:R:3 pbc="T T T"
Sb 0.000 2.382 2.596
Tl 2.348 2.382 0.000
Hg 2.348 0.000 2.596
Tl 0.000 0.000 0.000
```



Here is CdCl2 after structural relaxation from Alexandria. Energies are from PBE-GGA.

## Properties
uncorrected energy: -2.624 eV per atom
raw formation energy: -1.088 eV per atom

Structure (extended XYZ):
```
3
Lattice="-0.300 1.889 3.396 1.759 -1.422 3.175 5.425 3.416 -0.642" Properties=species:S:1:pos:R:3 pbc="T T T"
Cl 5.115 2.856 4.839
Cl 1.769 1.027 1.090
Cd 3.442 1.942 2.965
```



Here is BaAl2Pt after structural relaxation from Alexandria. Energies are from PBE-GGA.

## Properties
uncorrected energy: -4.364 eV per atom

Structure (extended XYZ):
```
4
Lattice="4.320 0.000 0.000 0.000 4.943 -0.017 0.000 1.556 5.238" Properties=species:S:1:pos:R:3 pbc="T T T"
Al 0.000 3.653 3.432
Pt 2.160 4.874 3.916
Ba 2.160 1.625 1.305
Al 0.000 6.096 4.400
```



Here is RbLiFeCl4 after structural relaxation from Alexandria. Energies are from PBE-GGA.

## Properties
uncorrected energy: -4.039 eV per atom
raw formation energy: -1.363 eV per atom

Structure (extended XYZ):
```
14
Lattice="6.157 0.000 0.124 0.000 8.041 0.000 -2.270 0.000 8.513" Properties=species:S:1:pos:R:3 pbc="T T T"
Cl -1.293 0.268 6.243
Li 3.554 6.031 2.793
Fe 3.405 2.010 5.994
Cl -1.293 3.752 6.243
Rb 1.172 2.010 0.969
Rb 2.715 6.031 7.669
Cl 2.022 2.010 4.187
Li 0.333 2.010 5.845
Cl 5.179 4.289 2.394
Cl 1.857 2.010 7.739
Cl 1.865 6.031 4.450
Cl 2.029 6.031 0.898
Fe 0.481 6.031 2.643
Cl 5.179 7.773 2.394
```



Here is CaReH3 after structural relaxation from Alexandria. Energies are from PBE-GGA.

## Properties
energy above the most stable polymorph in this dataset: 1290 meV per atom
uncorrected energy: -3.715 eV per atom

Structure (extended XYZ):
```
5
Lattice="-0.651 -1.035 -3.505 -0.149 -3.550 1.076 -3.652 0.329 0.581" Properties=species:S:1:pos:R:3 pbc="T T T"
H -0.075 -1.775 0.538
Re -2.226 -2.128 -0.924
Ca 0.000 0.000 0.000
H -0.326 -0.518 -1.753
H -1.826 0.165 0.291
```



Here is SiTePtI after structural relaxation from Alexandria. Energies are from PBE-GGA.

## Properties
energy above the most stable polymorph in this dataset: 133 meV per atom
uncorrected energy: -4.216 eV per atom
raw formation energy: -0.177 eV per atom

Structure (extended XYZ):
```
8
Lattice="8.764 0.000 -0.007 0.000 3.787 0.000 -2.311 0.000 6.873" Properties=species:S:1:pos:R:3 pbc="T T T"
I 2.000 0.000 3.818
Te 7.110 0.000 4.828
I 3.155 1.894 0.382
Si 6.747 0.000 0.211
Pt 5.583 1.894 1.276
Te 8.265 1.894 1.392
Pt 4.428 0.000 4.712
Si 5.592 1.894 3.647
```



Here is Dy2Co2Sn after structural relaxation from Alexandria. Energies are from PBE-GGA.

## Properties
uncorrected energy: -5.906 eV per atom

Structure (extended XYZ):
```
10
Lattice="-0.940 4.777 -2.474 -3.722 -4.070 -0.417 -1.772 3.203 6.857" Properties=species:S:1:pos:R:3 pbc="T T T"
Co -4.157 2.083 1.388
Co -4.386 0.345 6.546
Dy -3.439 -0.771 1.620
Co -2.277 1.826 2.578
Dy -4.606 2.258 4.309
Sn -1.247 4.886 -0.401
Dy -1.828 1.651 -0.343
Dy -2.995 4.680 2.346
Sn -1.465 3.094 4.785
Co -2.049 3.564 -2.580
```



Here is CrPd3Pt12 after structural relaxation from Alexandria. Energies are from PBE-GGA.

## Properties
uncorrected energy: -6.203 eV per atom

Structure (extended XYZ):
```
16
Lattice="3.941 0.000 0.000 0.000 3.941 0.000 0.000 0.000 15.871" Properties=species:S:1:pos:R:3 pbc="T T T"
Pt 1.970 1.970 7.936
Pd 0.000 0.000 3.927
Pd 0.000 0.000 11.944
Pt 1.970 1.970 3.928
Pt 0.000 1.970 5.936
Pt 1.970 0.000 9.936
Pt 1.970 0.000 5.936
Pt 0.000 1.970 9.936
Pt 1.970 1.970 11.943
Pt 0.000 1.970 13.965
Pt 1.970 0.000 1.906
Pt 1.970 0.000 13.965
Cr 0.000 0.000 0.000
Pt 1.970 1.970 0.000
Pd 0.000 0.000 7.936
Pt 0.000 1.970 1.906
```



Here is YNbTl2F after structural relaxation from Alexandria. Energies are from PBE-GGA.

## Properties
uncorrected energy: -4.701 eV per atom
raw formation energy: -0.074 eV per atom

Structure (extended XYZ):
```
5
Lattice="5.957 0.000 0.000 0.000 4.117 0.000 0.000 0.000 5.957" Properties=species:S:1:pos:R:3 pbc="T T T"
F 0.000 2.058 0.000
Tl 0.000 0.000 2.979
Nb 2.979 2.058 2.979
Tl 2.979 0.000 0.000
Y 0.000 0.000 0.000
```



Here is VCdGe2 after structural relaxation from Alexandria. Energies are from PBE-GGA.

## Properties
uncorrected energy: -4.723 eV per atom

Structure (extended XYZ):
```
4
Lattice="2.909 0.000 0.000 1.454 2.519 0.000 1.454 0.840 9.905" Properties=species:S:1:pos:R:3 pbc="T T T"
Ge 1.454 0.840 7.005
Cd 0.000 0.000 0.000
Ge 4.363 2.519 2.899
V 2.909 1.679 4.952
```



Here is Al2Te3 after structural relaxation from Alexandria. Energies are from PBE-GGA.

## Properties
uncorrected energy: -3.727 eV per atom
raw formation energy: -0.345 eV per atom

Structure (extended XYZ):
```
5
Lattice="10.775 -2.005 0.096 10.775 2.005 0.096 10.371 0.000 3.545" Properties=species:S:1:pos:R:3 pbc="T T T"
Te 0.000 0.000 0.000
Te 7.347 0.000 0.860
Al 12.536 0.000 1.468
Te 24.573 0.000 2.876
Al 19.383 0.000 2.269
```



Here is TbCd5In4 after structural relaxation from Alexandria. Energies are from PBE-GGA.

## Properties
uncorrected energy: -2.029 eV per atom

Structure (extended XYZ):
```
10
Lattice="4.766 0.000 1.716 2.329 7.204 1.007 -0.058 -0.069 7.638" Properties=species:S:1:pos:R:3 pbc="T T T"
Cd 4.828 6.510 5.283
Cd 5.703 4.007 2.853
In 1.906 4.773 5.921
Cd 4.593 0.626 5.935
Cd 4.710 3.568 5.609
Cd 3.718 3.129 8.366
In 1.610 1.382 6.744
In 2.749 2.363 3.581
In 3.045 5.754 2.759
Tb 3.575 0.000 1.287
```



Here is La4Se5F after structural relaxation from Alexandria. Energies are from PBE-GGA.

## Properties
uncorrected energy: -6.004 eV per atom
raw formation energy: -2.103 eV per atom

Structure (extended XYZ):
```
10
Lattice="4.181 0.000 0.000 0.000 7.755 -1.245 -2.091 -2.437 9.795" Properties=species:S:1:pos:R:3 pbc="T T T"
Se 2.091 3.877 -0.623
Se 0.000 2.302 2.669
Se 2.091 3.016 5.881
La 0.000 5.878 -0.943
Se 2.091 -1.054 6.533
La 0.000 4.684 4.497
Se 0.000 6.372 2.017
F 2.091 0.000 0.000
La 2.091 0.634 4.053
La 2.091 -0.561 9.493
```



Here is Ba2TePd after structural relaxation from Alexandria. Energies are from PBE-GGA.

## Properties
uncorrected energy: -3.906 eV per atom
raw formation energy: -0.861 eV per atom

Structure (extended XYZ):
```
8
Lattice="-0.159 4.467 7.322 2.602 -6.953 4.299 5.702 0.018 5.138" Properties=species:S:1:pos:R:3 pbc="T T T"
Ba 1.656 1.806 6.199
Te 3.382 1.621 9.135
Te 0.000 0.000 0.000
Ba 5.263 -1.108 8.329
Ba 3.027 -3.661 5.086
Pd 4.762 -4.089 7.624
Pd 1.221 -1.243 5.810
Ba 6.343 -1.972 13.905
```



Here is Si2Sn2Bi after structural relaxation from Alexandria. Energies are from PBE-GGA.

## Properties
energy above the most stable polymorph in this dataset: 64 meV per atom
uncorrected energy: -4.243 eV per atom
raw formation energy: 0.304 eV per atom

Structure (extended XYZ):
```
5
Lattice="-4.660 0.668 -2.417 2.358 -0.572 -4.703 -1.852 -4.229 -3.391" Properties=species:S:1:pos:R:3 pbc="T T T"
Si -1.343 -1.124 -3.514
Sn -0.323 -2.377 -5.827
Sn -3.832 -1.757 -4.684
Si -2.811 -3.010 -6.998
Bi 0.000 0.000 0.000
```



Here is PrDy7Sc3 after structural relaxation from Alexandria. Energies are from PBE-GGA.

## Properties
uncorrected energy: -4.863 eV per atom

Structure (extended XYZ):
```
11
Lattice="-0.216 -7.895 2.416 5.735 1.019 3.840 -6.305 1.031 2.805" Properties=species:S:1:pos:R:3 pbc="T T T"
Sc 2.688 -5.682 3.830
Pr -2.388 -2.501 4.229
Dy 1.697 0.101 3.777
Dy 3.614 -2.623 4.781
Dy -1.174 -0.307 1.835
Dy -4.310 0.206 3.230
Dy 0.485 -2.111 6.173
Sc 2.406 -4.666 7.123
Dy -1.457 0.712 5.140
Sc -0.436 -5.171 5.220
Dy 0.768 -3.128 2.875
```